[1]
A relaxed structure of NiMoC. Source: Alexandria via LeMat-Bulk, functional PBE.

a = 2.796 Å, b = 6.582 Å, c = 6.822 Å
α = 90.00°, β = 90.00°, γ = 90.00°
Fractional positions:
Mo 0.500 0.500 0.024
Mo 0.000 0.000 0.524
Mo 0.000 0.500 0.641
Mo 0.500 0.000 0.141
C 0.000 0.268 0.146
C 0.500 0.232 0.646
C 0.000 0.732 0.146
C 0.500 0.768 0.646
Ni 0.500 0.690 0.359
Ni 0.000 0.810 0.859
Ni 0.000 0.190 0.859
Ni 0.500 0.310 0.359

Results
- energy relative to the lowest polymorph listed for this composition (meV per atom) = 96
- DFT formation energy (kJ/mol of atoms) = 14.5

[2]
A relaxed structure of PrY3Os. Source: Alexandria via LeMat-Bulk, functional PBE.

a = 5.464 Å, b = 5.464 Å, c = 5.464 Å
α = 90.00°, β = 90.00°, γ = 90.00°
Fractional positions:
Y 0.000 0.500 0.000
Y 0.500 0.000 0.000
Y 0.000 0.000 0.500
Os 0.000 0.000 0.000
Pr 0.500 0.500 0.500

Results
- DFT formation energy (kJ/mol of atoms) = -0.6

[3]
A relaxed structure of Sc2TlGeRu. Source: Alexandria via LeMat-Bulk, functional PBE.

a = 5.016 Å, b = 5.034 Å, c = 5.016 Å
α = 90.00°, β = 90.00°, γ = 90.00°
Last column: magnetic moment on the atom in μB.
Fractional positions:
Sc 0.500 0.000 0.000  -0.13
Sc 0.000 0.000 0.500  -0.16
Ge 0.000 0.000 0.000  0.04
Ru 0.500 0.500 0.500  1.69
Tl 0.000 0.500 0.000  0.00

Results
- DFT formation energy (kJ/mol of atoms) = 68.6

[4]
A relaxed structure of MgCu2HgW. Source: Alexandria via LeMat-Bulk, functional PBE.

a = 4.372 Å, b = 4.750 Å, c = 4.372 Å
α = 90.00°, β = 90.00°, γ = 90.00°
Fractional positions:
Mg 0.000 0.000 0.000
Cu 0.000 0.000 0.500
Cu 0.500 0.000 0.000
W 0.500 0.500 0.500
Hg 0.000 0.500 0.000

Results
- DFT formation energy (kJ/mol of atoms) = 150.5

[5]
A relaxed structure of NpBi2TeO4. Source: Alexandria via LeMat-Bulk, functional PBE.

a = 3.931 Å, b = 3.931 Å, c = 9.240 Å
α = 90.00°, β = 90.00°, γ = 90.00°
Last column: magnetic moment on the atom in μB.
Fractional positions:
O 0.500 0.000 0.144  -0.05
O 0.000 0.500 0.856  -0.05
O 0.500 0.000 0.856  -0.05
O 0.000 0.500 0.144  -0.05
Bi 0.500 0.500 0.716  0.03
Bi 0.500 0.500 0.284  0.03
Te 0.000 0.000 0.500  -0.01
Np 0.000 0.000 0.000  3.08

Results
- formation energy from raw total energies (eV/atom) = -1.6815

[6]
A relaxed structure of Pr2NiSn3. Source: Alexandria via LeMat-Bulk, functional PBE.

a = 4.631 Å, b = 6.188 Å, c = 6.234 Å
α = 74.93°, β = 68.20°, γ = 68.03°
Fractional positions:
Ni 0.173 0.394 0.261
Sn 0.797 0.262 0.144
Sn 0.888 0.583 0.640
Sn 0.163 0.754 0.920
Pr 0.427 0.830 0.316
Pr 0.552 0.177 0.719

Results
- energy relative to the lowest polymorph listed for this composition (meV per atom) = 0
- DFT formation energy (kJ/mol of atoms) = -57.9

[7]
A relaxed structure of ZrCrCl2. Source: Alexandria via LeMat-Bulk, functional PBE.

a = 6.306 Å, b = 6.306 Å, c = 6.306 Å
α = 146.12°, β = 146.12°, γ = 48.67°
Last column: magnetic moment on the atom in μB.
Fractional positions:
Zr 0.750 0.250 0.500  -0.42
Cl 0.000 0.000 0.000  -0.02
Cl 0.250 0.750 0.500  0.02
Cr 0.500 0.500 0.000  3.84

Results
- energy relative to the lowest polymorph listed for this composition (meV per atom) = 602
- formation energy from raw total energies (eV/atom) = -0.0858

[8]
A relaxed structure of Ce2TcSn8. Source: Alexandria via LeMat-Bulk, functional PBE.

a = 4.735 Å, b = 4.735 Å, c = 12.233 Å
α = 90.00°, β = 90.00°, γ = 90.00°
Fractional positions:
Ce 0.000 0.000 0.692
Ce 0.000 0.000 0.308
Sn 0.000 0.500 0.877
Sn 0.000 0.500 0.123
Sn 0.500 0.500 0.309
Sn 0.500 0.500 0.691
Sn 0.000 0.500 0.500
Sn 0.500 0.000 0.123
Sn 0.500 0.000 0.877
Sn 0.500 0.000 0.500
Tc 0.000 0.000 0.000

Results
- DFT formation energy (kJ/mol of atoms) = -39.2

[9]
A relaxed structure of CuTc2Os. Source: Alexandria via LeMat-Bulk, functional PBE.

a = 3.857 Å, b = 3.801 Å, c = 3.801 Å
α = 90.00°, β = 90.00°, γ = 90.00°
Fractional positions:
Os 0.500 0.000 0.500
Cu 0.500 0.500 0.000
Tc 0.000 0.500 0.500
Tc 0.000 0.000 0.000

Results
- energy relative to the lowest polymorph listed for this composition (meV per atom) = 143
- DFT formation energy (kJ/mol of atoms) = 28.9

[10]
A relaxed structure of BaSr2InPd. Source: Alexandria via LeMat-Bulk, functional PBE.

a = 5.916 Å, b = 5.916 Å, c = 5.442 Å
α = 90.00°, β = 90.00°, γ = 90.00°
Fractional positions:
Sr 0.500 0.000 0.000
Sr 0.000 0.500 0.000
In 0.000 0.000 0.500
Ba 0.500 0.500 0.500
Pd 0.000 0.000 0.000

Results
- energy relative to the lowest polymorph listed for this composition (meV per atom) = 0
- DFT formation energy (kJ/mol of atoms) = -32.6

[11]
A relaxed structure of NdIn3I6. Source: Alexandria via LeMat-Bulk, functional PBE.

a = 8.183 Å, b = 9.246 Å, c = 12.016 Å
α = 90.00°, β = 85.39°, γ = 90.00°
Fractional positions:
I 0.819 0.668 0.549
I 0.159 0.285 0.084
I 0.155 0.063 0.758
I 0.845 0.937 0.242
I 0.345 0.563 0.742
I 0.659 0.215 0.584
I 0.341 0.785 0.416
I 0.655 0.437 0.258
I 0.319 0.832 0.049
I 0.181 0.332 0.451
I 0.681 0.168 0.951
I 0.841 0.715 0.916
In 0.969 0.400 0.716
In 0.531 0.900 0.784
In 0.000 0.000 0.500
In 0.500 0.500 0.000
In 0.469 0.100 0.216
In 0.031 0.600 0.284
Nd 0.000 0.000 0.000
Nd 0.500 0.500 0.500

Results
- formation energy from raw total energies (eV/atom) = -0.8351

[12]
A relaxed structure of Li4MoAu. Source: Alexandria via LeMat-Bulk, functional PBE.

a = 4.959 Å, b = 4.959 Å, c = 4.959 Å
α = 60.00°, β = 60.00°, γ = 60.00°
Last column: magnetic moment on the atom in μB.
Fractional positions:
Mo 0.750 0.750 0.750  2.29
Au 0.000 0.000 0.000  0.06
Li 0.375 0.375 0.375  -0.01
Li 0.876 0.375 0.375  -0.01
Li 0.375 0.876 0.375  -0.01
Li 0.375 0.375 0.876  -0.01

Results
- DFT formation energy (kJ/mol of atoms) = 26.4